No. 1
SmPu2Pa, relaxed, DFT PBE; E_form = 121 kJ/mol of formula units; total DFT energy (no corrections) = -10.405 eV per atom; space group = Fm-3m, No. 225; relative energy among the computed polymorphs = 74 kJ/mol of formula units; N(E_F) = 11.40 states/eV/cell; size of the total moment = 3.5415 μB/atom
1.0
5.381 0.000 0.000
2.691 4.660 0.000
2.691 1.553 4.394
Sm Pa Pu
1 1 2
Cartesian
5.381 3.107 2.197
0.000 0.000 0.000
8.072 4.660 3.295
2.691 1.553 1.098

No. 2
CdMoPb2, relaxed, DFT PBE; E_form = 276 kJ/mol of formula units; total DFT energy (no corrections) = -4.074 eV per atom; space group = Pmmm, No. 47; N(E_F) = 3.37 states/eV/cell; size of the total moment = 0.3441 μB/atom
1.0
3.542 0.000 0.000
0.000 5.552 0.000
0.000 0.000 4.822
Mo Pb Cd
1 2 1
Cartesian
0.000 2.776 2.411
0.000 0.000 0.000
1.771 2.776 0.000
1.771 0.000 2.411

No. 3
BaIClO2, relaxed, DFT PBE; total DFT energy (no corrections) = -3.228 eV per atom; space group = P4/mmm, No. 123; raw formation energy = -0.18 eV/atom; relative energy among the computed polymorphs = 56 kJ/mol of formula units; N(E_F) = 1.10 states/eV/cell; size of the total moment = 0.1627 μB/atom
1.0
-1.717 -2.206 3.824
4.072 -2.375 0.458
1.846 3.743 2.989
I O Ba Cl
1 2 1 1
Cartesian
0.923 1.872 1.494
2.036 -1.187 0.229
-0.858 -1.103 1.912
2.101 -0.419 3.635
0.000 0.000 0.000